(1)
Material: RbNbSn2O8
Method: DFT, GGA-PBE
State: relaxed

a = 4.8556 Å, b = 4.8556 Å, c = 7.8760 Å
α = 90.73°, β = 90.73°, γ = 87.18°
Atoms (fractional coordinates):
Rb 0.0000 0.0000 0.0000
Nb 0.0000 0.0000 0.5000
Sn 0.4875 0.4875 0.6936
Sn 0.5125 0.5125 0.3064
O 0.1888 0.7865 0.3131
O 0.2135 0.8112 0.6869
O 0.2956 0.2956 0.4926
O 0.4087 0.4087 0.9491
O 0.5913 0.5913 0.0509
O 0.7044 0.7044 0.5074
O 0.7865 0.1888 0.3131
O 0.8112 0.2135 0.6869

***

(2)
Material: Rb3Nb2SnO8
Method: DFT, GGA-PBE
State: relaxed

a = 6.2421 Å, b = 6.2421 Å, c = 8.0309 Å
α = 90.00°, β = 90.00°, γ = 120.00°
Atoms (fractional coordinates):
Rb 0.0000 0.0000 0.0000
Rb 0.3333 0.6667 0.6888
Rb 0.6667 0.3333 0.3112
Nb 0.3333 0.6667 0.2504
Nb 0.6667 0.3333 0.7496
Sn 0.0000 0.0000 0.5000
O 0.1676 0.3352 0.3314
O 0.1676 0.8324 0.3314
O 0.3333 0.6667 0.0243
O 0.3352 0.1676 0.6686
O 0.6648 0.8324 0.3314
O 0.6667 0.3333 0.9757
O 0.8324 0.1676 0.6686
O 0.8324 0.6648 0.6686

***

(3)
Material: RbNbSnO6
Method: DFT, GGA-PBE
State: relaxed

a = 5.7479 Å, b = 5.7479 Å, c = 5.8135 Å
α = 90.99°, β = 90.99°, γ = 118.87°
Atoms (fractional coordinates):
Rb 0.0000 0.0000 0.0000
Nb 0.6531 0.3469 0.5000
Sn 0.3435 0.6565 0.5000
O 0.0021 0.4203 0.6727
O 0.4222 0.4090 0.2902
O 0.4279 0.0155 0.6753
O 0.5797 0.9979 0.3273
O 0.5910 0.5778 0.7098
O 0.9845 0.5721 0.3247

***

(4)
Material: Rb3Sr2NbO6
Method: DFT, GGA-PBE
State: relaxed

a = 6.2110 Å, b = 6.2110 Å, c = 6.7926 Å
α = 98.75°, β = 98.75°, γ = 119.98°
Atoms (fractional coordinates):
Rb 0.0000 0.0000 0.0000
Rb 0.3347 0.6653 0.0000
Rb 0.6653 0.3347 0.0000
Sr 0.1667 0.8333 0.5000
Sr 0.8333 0.1667 0.5000
Nb 0.5000 0.5000 0.5000
O 0.1637 0.4403 0.3217
O 0.2829 0.2829 0.6794
O 0.4403 0.1637 0.3217
O 0.5597 0.8363 0.6783
O 0.7171 0.7171 0.3206
O 0.8363 0.5597 0.6783

***

(5)
Material: Rb3SrNb2O8
Method: DFT, GGA-PBE
State: relaxed

a = 6.4587 Å, b = 6.4587 Å, c = 8.2258 Å
α = 90.00°, β = 90.00°, γ = 120.00°
Atoms (fractional coordinates):
Rb 0.0000 0.0000 0.0000
Rb 0.3333 0.6667 0.6735
Rb 0.6667 0.3333 0.3265
Sr 0.0000 0.0000 0.5000
Nb 0.3333 0.6667 0.2297
Nb 0.6667 0.3333 0.7703
O 0.1763 0.3526 0.3115
O 0.1763 0.8237 0.3115
O 0.3333 0.6667 0.0021
O 0.3526 0.1763 0.6885
O 0.6474 0.8237 0.3115
O 0.6667 0.3333 0.9979
O 0.8237 0.1763 0.6885
O 0.8237 0.6474 0.6885

***

(6)
Material: RbSr2Nb3O10
Method: DFT, GGA-PBE
State: relaxed

a = 3.9883 Å, b = 3.9883 Å, c = 15.5019 Å
α = 90.00°, β = 90.00°, γ = 90.00°
Atoms (fractional coordinates):
Rb 0.0000 0.0000 0.0000
Sr 0.0000 0.0000 0.3539
Sr 0.0000 0.0000 0.6461
Nb 0.5000 0.5000 0.2147
Nb 0.5000 0.5000 0.5000
Nb 0.5000 0.5000 0.7853
O 0.0000 0.5000 0.2415
O 0.0000 0.5000 0.5000
O 0.0000 0.5000 0.7585
O 0.5000 0.0000 0.2415
O 0.5000 0.0000 0.5000
O 0.5000 0.0000 0.7585
O 0.5000 0.5000 0.0988
O 0.5000 0.5000 0.3720
O 0.5000 0.5000 0.6280
O 0.5000 0.5000 0.9012

***

(7)
Material: RbSrNbO4
Method: DFT, GGA-PBE
State: relaxed

a = 6.4740 Å, b = 6.4421 Å, c = 7.7715 Å
α = 90.00°, β = 103.54°, γ = 90.00°
Atoms (fractional coordinates):
Rb 0.1942 0.2500 0.4166
Rb 0.8058 0.7500 0.5834
Sr 0.3071 0.2500 0.9469
Sr 0.6929 0.7500 0.0531
Nb 0.2204 0.7500 0.1580
Nb 0.7796 0.2500 0.8420
O 0.0347 0.7500 0.3112
O 0.0360 0.7500 0.9350
O 0.4103 0.5233 0.1765
O 0.4103 0.9767 0.1765
O 0.5897 0.0233 0.8235
O 0.5897 0.4767 0.8235
O 0.9640 0.2500 0.0650
O 0.9653 0.2500 0.6888

***

(8)
Material: Rb2Sr2NbO6
Method: DFT, GGA-PBE
State: relaxed

a = 6.1369 Å, b = 6.1369 Å, c = 6.9035 Å
α = 98.40°, β = 98.40°, γ = 118.88°
Atoms (fractional coordinates):
Rb 0.1650 0.8350 0.0000
Rb 0.8350 0.1650 0.0000
Sr 0.3382 0.6618 0.5000
Sr 0.6618 0.3382 0.5000
Nb 0.0000 0.0000 0.5000
O 0.0480 0.3305 0.6693
O 0.2163 0.2163 0.3278
O 0.3305 0.0480 0.6693
O 0.6695 0.9520 0.3307
O 0.7837 0.7837 0.6722
O 0.9520 0.6695 0.3307

***

(9)
Material: RbSrNb2O7
Method: DFT, GGA-PBE
State: relaxed

a = 12.2867 Å, b = 12.2867 Å, c = 12.2867 Å
α = 161.32°, β = 161.32°, γ = 26.54°
Atoms (fractional coordinates):
Rb 0.0000 0.0000 0.0000
Sr 0.2500 0.7500 0.5000
Nb 0.6545 0.1545 0.5000
Nb 0.8455 0.3455 0.5000
O 0.1708 0.1708 0.0000
O 0.3289 0.3289 0.0000
O 0.5789 0.0789 0.5000
O 0.6711 0.6711 0.0000
O 0.7500 0.2500 0.5000
O 0.8292 0.8292 0.0000
O 0.9211 0.4211 0.5000

***

(10)
Material: Rb2TaNb3O12
Method: DFT, GGA-PBE
State: relaxed

a = 7.5256 Å, b = 7.5256 Å, c = 7.5256 Å
α = 60.13°, β = 60.13°, γ = 60.13°
Atoms (fractional coordinates):
Rb 0.1259 0.1259 0.1259
Rb 0.8741 0.8741 0.8741
Ta 0.5000 0.5000 0.5000
Nb 0.0000 0.5000 0.5000
Nb 0.5000 0.0000 0.5000
Nb 0.5000 0.5000 0.0000
O 0.1866 0.1866 0.5623
O 0.1866 0.5623 0.1866
O 0.1889 0.5624 0.5624
O 0.4376 0.4376 0.8111
O 0.4376 0.8111 0.4376
O 0.4377 0.8134 0.8134
O 0.5623 0.1866 0.1866
O 0.5624 0.1889 0.5624
O 0.5624 0.5624 0.1889
O 0.8111 0.4376 0.4376
O 0.8134 0.4377 0.8134
O 0.8134 0.8134 0.4377

***

(11)
Material: RbTaNb2O8
Method: DFT, GGA-PBE
State: relaxed

a = 5.5016 Å, b = 5.5016 Å, c = 7.3873 Å
α = 101.89°, β = 101.89°, γ = 69.05°
Atoms (fractional coordinates):
Rb 0.0000 0.0000 0.0000
Ta 0.0000 0.0000 0.5000
Nb 0.4211 0.4211 0.7732
Nb 0.5789 0.5789 0.2268
O 0.2110 0.7480 0.6823
O 0.2215 0.2215 0.6091
O 0.2520 0.7890 0.3177
O 0.3609 0.3609 0.9992
O 0.6391 0.6391 0.0008
O 0.7480 0.2110 0.6823
O 0.7785 0.7785 0.3909
O 0.7890 0.2520 0.3177

***

(12)
Material: RbTa2NbO
Method: DFT, GGA-PBE
State: relaxed

a = 4.8279 Å, b = 4.8279 Å, c = 6.9647 Å
α = 90.00°, β = 90.00°, γ = 90.00°
Atoms (fractional coordinates):
Rb 0.0000 0.0000 0.0000
Ta 0.0000 0.5000 0.5000
Ta 0.5000 0.0000 0.5000
Nb 0.0000 0.0000 0.5000
O 0.5000 0.5000 0.0000

***

(13)
Material: Rb3TbNb2O9
Method: DFT, GGA-PBE
State: relaxed

a = 6.0280 Å, b = 6.0280 Å, c = 7.4216 Å
α = 90.00°, β = 90.00°, γ = 120.00°
Atoms (fractional coordinates):
Rb 0.0000 0.0000 0.0000
Rb 0.3333 0.6667 0.6718
Rb 0.6667 0.3333 0.3282
Tb 0.0000 0.0000 0.5000
Nb 0.3333 0.6667 0.1789
Nb 0.6667 0.3333 0.8211
O 0.0000 0.5000 0.0000
O 0.1765 0.3530 0.3154
O 0.1765 0.8235 0.3154
O 0.3530 0.1765 0.6846
O 0.5000 0.0000 0.0000
O 0.5000 0.5000 0.0000
O 0.6470 0.8235 0.3154
O 0.8235 0.1765 0.6846
O 0.8235 0.6470 0.6846

***

(14)
Material: Rb2NbTcO6
Method: DFT, GGA-PBE
State: relaxed

a = 5.7154 Å, b = 5.7154 Å, c = 4.0369 Å
α = 90.00°, β = 90.00°, γ = 90.00°
Atoms (fractional coordinates):
Rb 0.0000 0.5000 0.0000
Rb 0.5000 0.0000 0.0000
Nb 0.0000 0.0000 0.5000
Tc 0.5000 0.5000 0.5000
O 0.0000 0.0000 0.0000
O 0.2540 0.2540 0.5000
O 0.2540 0.7460 0.5000
O 0.5000 0.5000 0.0000
O 0.7460 0.2540 0.5000
O 0.7460 0.7460 0.5000

***

(15)
Material: Rb2NbTc3O12
Method: DFT, GGA-PBE
State: relaxed

a = 7.3938 Å, b = 7.3938 Å, c = 7.3938 Å
α = 59.04°, β = 59.04°, γ = 59.04°
Atoms (fractional coordinates):
Rb 0.1254 0.1254 0.1254
Rb 0.8746 0.8746 0.8746
Nb 0.5000 0.5000 0.5000
Tc 0.0000 0.5000 0.5000
Tc 0.5000 0.0000 0.5000
Tc 0.5000 0.5000 0.0000
O 0.1766 0.5668 0.5668
O 0.1928 0.1928 0.5664
O 0.1928 0.5664 0.1928
O 0.4332 0.4332 0.8234
O 0.4332 0.8234 0.4332
O 0.4336 0.8072 0.8072
O 0.5664 0.1928 0.1928
O 0.5668 0.1766 0.5668
O 0.5668 0.5668 0.1766
O 0.8072 0.4336 0.8072
O 0.8072 0.8072 0.4336
O 0.8234 0.4332 0.4332

***

(16)
Material: RbNbTeO5
Method: DFT, GGA-PBE
State: relaxed

a = 6.1248 Å, b = 6.1248 Å, c = 7.6617 Å
α = 100.56°, β = 100.56°, γ = 105.52°
Atoms (fractional coordinates):
Rb 0.1670 0.8330 0.7500
Rb 0.8330 0.1670 0.2500
Nb 0.5000 0.5000 0.0000
Nb 0.5000 0.5000 0.5000
Te 0.1772 0.8228 0.2500
Te 0.8228 0.1772 0.7500
O 0.1607 0.3223 0.9498
O 0.2053 0.5950 0.3908
O 0.3223 0.1607 0.4498
O 0.4050 0.7947 0.1092
O 0.4459 0.5541 0.7500
O 0.5541 0.4459 0.2500
O 0.5950 0.2053 0.8908
O 0.6777 0.8393 0.5502
O 0.7947 0.4050 0.6092
O 0.8393 0.6777 0.0502

***

(17)
Material: Rb2NbTe3O12
Method: DFT, GGA-PBE
State: relaxed

a = 7.4041 Å, b = 7.4041 Å, c = 7.4041 Å
α = 59.81°, β = 59.81°, γ = 59.81°
Atoms (fractional coordinates):
Rb 0.1262 0.1262 0.1262
Rb 0.8738 0.8738 0.8738
Nb 0.5000 0.5000 0.5000
Te 0.0000 0.5000 0.5000
Te 0.5000 0.0000 0.5000
Te 0.5000 0.5000 0.0000
O 0.1778 0.5680 0.5680
O 0.1785 0.1785 0.5725
O 0.1785 0.5725 0.1785
O 0.4275 0.8215 0.8215
O 0.4320 0.4320 0.8222
O 0.4320 0.8222 0.4320
O 0.5680 0.1778 0.5680
O 0.5680 0.5680 0.1778
O 0.5725 0.1785 0.1785
O 0.8215 0.4275 0.8215
O 0.8215 0.8215 0.4275
O 0.8222 0.4320 0.4320

***

(18)
Material: Rb2ThNb3O12
Method: DFT, GGA-PBE
State: relaxed

a = 7.7109 Å, b = 7.7109 Å, c = 7.7109 Å
α = 60.09°, β = 60.09°, γ = 60.09°
Atoms (fractional coordinates):
Rb 0.1246 0.1246 0.1246
Rb 0.8754 0.8754 0.8754
Th 0.5000 0.5000 0.5000
Nb 0.0000 0.5000 0.5000
Nb 0.5000 0.0000 0.5000
Nb 0.5000 0.5000 0.0000
O 0.1426 0.5860 0.5860
O 0.2030 0.2030 0.5695
O 0.2030 0.5695 0.2030
O 0.4140 0.4140 0.8574
O 0.4140 0.8574 0.4140
O 0.4305 0.7970 0.7970
O 0.5695 0.2030 0.2030
O 0.5860 0.1426 0.5860
O 0.5860 0.5860 0.1426
O 0.7970 0.4305 0.7970
O 0.7970 0.7970 0.4305
O 0.8574 0.4140 0.4140

***

(19)
Material: RbTi3NbO9
Method: DFT, GGA-PBE
State: relaxed

a = 3.8429 Å, b = 6.4745 Å, c = 15.1893 Å
α = 90.00°, β = 90.00°, γ = 90.00°
Atoms (fractional coordinates):
Rb 0.0000 0.2220 0.0000
Rb 0.5000 0.7780 0.5000
Ti 0.0000 0.2360 0.3740
Ti 0.0000 0.6868 0.2982
Ti 0.0000 0.6964 0.7160
Ti 0.5000 0.3036 0.2160
Ti 0.5000 0.3132 0.7982
Ti 0.5000 0.7640 0.8740
Nb 0.0000 0.2428 0.6218
Nb 0.5000 0.7572 0.1218
O 0.0000 0.1770 0.5007
O 0.0000 0.3415 0.2435
O 0.0000 0.3509 0.7639
O 0.0000 0.5286 0.3979
O 0.0000 0.5423 0.6088
O 0.0000 0.7580 0.1556
O 0.0000 0.7643 0.8480
O 0.0000 0.9366 0.3467
O 0.0000 0.9428 0.6633
O 0.5000 0.0572 0.1633
O 0.5000 0.0634 0.8467
O 0.5000 0.2357 0.3480
O 0.5000 0.2420 0.6556
O 0.5000 0.4577 0.1088
O 0.5000 0.4714 0.8979
O 0.5000 0.6491 0.2639
O 0.5000 0.6585 0.7435
O 0.5000 0.8230 0.0007

***

Per-record E, eV per atom: -6.465 -6.850 -6.582 -6.095 -6.878 -7.979 -7.201 -6.331 -7.659 -8.063 -8.585 -5.958 -7.078 -7.104 -7.384 -6.616 -5.986 -7.790 -8.493